No. 1
Compound: Tl11Pb4
Source: the Alexandria database
Functional: PBE
Structure: optimized geometry

The structure in POSCAR format:
```
Tl11Pb4
1.0
12.1631 0.0000 0.0000
0.0000 12.1631 0.0000
0.0000 0.0000 6.3887
Tl Pb
22 8
direct
0.0000 0.0000 0.0000
0.0647 0.2647 0.0000
0.1000 0.1000 0.5000
0.1846 0.8154 0.2508
0.1846 0.8154 0.7492
0.2353 0.5647 0.5000
0.2647 0.0647 0.0000
0.3154 0.3154 0.2492
0.3154 0.3154 0.7508
0.4000 0.6000 0.0000
0.4353 0.7647 0.5000
0.5000 0.5000 0.5000
0.5647 0.2353 0.5000
0.6000 0.4000 0.0000
0.6846 0.6846 0.2492
0.6846 0.6846 0.7508
0.7353 0.9353 0.0000
0.7647 0.4353 0.5000
0.8154 0.1846 0.2508
0.8154 0.1846 0.7492
0.9000 0.9000 0.5000
0.9353 0.7353 0.0000
0.0364 0.3708 0.5000
0.1292 0.5364 0.0000
0.3708 0.0364 0.5000
0.4636 0.8708 0.0000
0.5364 0.1292 0.0000
0.6292 0.9636 0.5000
0.8708 0.4636 0.0000
0.9636 0.6292 0.5000
```

Summary:
- VASP energy: -2.697 eV per atom
- Space group: P4_2/mnm, No. 136

No. 2
Compound: Tl3Pb8
Source: the Alexandria database
Functional: PBE
Structure: optimized geometry

The structure in POSCAR format:
```
Tl3Pb8
1.0
6.2379 -2.9884 0.0000
6.2379 2.9884 0.0000
-0.5066 0.0000 9.2865
Tl Pb
3 8
direct
0.0000 0.0000 0.0000
0.0913 0.0913 0.3591
0.9087 0.9087 0.6409
0.1871 0.1871 0.7202
0.2763 0.2763 0.0869
0.3681 0.3681 0.4524
0.4552 0.4552 0.8203
0.5448 0.5448 0.1797
0.6319 0.6319 0.5476
0.7237 0.7237 0.9131
0.8129 0.8129 0.2798
```

Summary:
- ΔE to the lowest computed polymorph: 0.0 meV/atom
- Space group: C2/m, No. 12

No. 3
Compound: Tl8Pb3
Source: the Alexandria database
Functional: PBE
Structure: optimized geometry

The structure in POSCAR format:
```
Tl8Pb3
1.0
5.4217 -2.5009 0.0000
5.4217 2.5009 0.0000
-4.4745 0.0000 12.5287
Tl Pb
8 3
direct
0.0445 0.0445 0.3187
0.1351 0.1351 0.9537
0.2294 0.2294 0.5916
0.3209 0.3209 0.2285
0.6791 0.6791 0.7715
0.7706 0.7706 0.4084
0.8649 0.8649 0.0463
0.9555 0.9555 0.6813
0.4078 0.4078 0.8664
0.5000 0.5000 0.5000
0.5922 0.5922 0.1336
```

Summary:
- ΔE to the lowest computed polymorph: 0.0 meV/atom
- Space group: C2/m, No. 12

No. 4
Compound: Tl3Pb
Source: the Alexandria database
Functional: PBE
Structure: optimized geometry

The structure in POSCAR format:
```
Tl3Pb
1.0
-1.9547 2.8183 5.6276
1.9547 -2.8183 5.6276
1.9547 2.8183 -5.6276
Tl Pb
3 1
direct
0.0000 0.0000 0.0000
0.2492 0.7492 0.5000
0.7508 0.2508 0.5000
0.5000 0.5000 0.0000
```

Summary:
- ΔE to the lowest computed polymorph: 19.1 meV/atom
- Space group: Immm, No. 71

No. 5
Compound: Tl3Pb
Source: the Alexandria database
Functional: PBE
Structure: optimized geometry

The structure in POSCAR format:
```
Tl3Pb
1.0
6.1738 0.0000 0.0000
0.0000 6.1738 0.0000
0.0000 0.0000 6.1738
Tl Pb
3 1
direct
0.0000 0.0000 0.5000
0.0000 0.5000 0.0000
0.5000 0.0000 0.0000
0.0000 0.0000 0.0000
```

Summary:
- ΔE to the lowest computed polymorph: 479.2 meV/atom
- Space group: Pm-3m, No. 221

No. 6
Compound: TlPb2
Source: the Alexandria database
Functional: PBE
Structure: optimized geometry

The structure in POSCAR format:
```
TlPb2
1.0
-3.8706 3.8706 3.2215
3.8706 -3.8706 3.2215
3.8706 3.8706 -3.2215
Tl Pb
2 4
direct
0.2500 0.2500 0.0000
0.7500 0.7500 0.0000
0.1517 0.6517 0.8033
0.3483 0.1517 0.5000
0.6517 0.8483 0.5000
0.8483 0.3483 0.1967
```

Summary:
- ΔE to the lowest computed polymorph: 133.4 meV/atom
- Space group: I4/mcm, No. 140

No. 7
Compound: Tl3Pb
Source: the Alexandria database
Functional: PBE
Structure: optimized geometry

The structure in POSCAR format:
```
Tl3Pb
1.0
0.0000 3.9479 3.9479
3.9479 0.0000 3.9479
3.9479 3.9479 0.0000
Tl Pb
3 1
direct
0.0000 0.0000 0.0000
0.2500 0.2500 0.2500
0.7500 0.7500 0.7500
0.5000 0.5000 0.5000
```

Summary:
- ΔE to the lowest computed polymorph: 14.5 meV/atom
- Space group: Fm-3m, No. 225

No. 8
Compound: Tl2Pb
Source: the Alexandria database
Functional: PBE
Structure: optimized geometry

The structure in POSCAR format:
```
Tl2Pb
1.0
-1.7435 1.7435 7.7093
1.7435 -1.7435 7.7093
1.7435 1.7435 -7.7093
Tl Pb
2 1
direct
0.1647 0.1647 0.0000
0.8353 0.8353 0.0000
0.5000 0.5000 0.0000
```

Summary:
- ΔE to the lowest computed polymorph: 1.4 meV/atom
- Space group: I4/mmm, No. 139